Entry from the Alexandria database: MnPbIO2 after structural relaxation (PBE+U).

The structure in CIF format:
```
data_MnPbIO2
_chemical_formula_sum 'Mn4 Pb4 I4 O8'
_symmetry_space_group_name_H-M 'C m c m'
_symmetry_Int_Tables_number 63
_symmetry_space_group_name_Hall '-C 2c 2'
_cell_length_a 5.9037
_cell_length_b 13.4125
_cell_length_c 5.6335
_cell_angle_alpha 90.00
_cell_angle_beta 90.00
_cell_angle_gamma 90.00
loop_
_atom_site_label
_atom_site_type_symbol
_atom_site_fract_x
_atom_site_fract_y
_atom_site_fract_z
Mn1 Mn 0.0000 0.0095 0.2500
Pb1 Pb 0.0000 0.3927 0.2500
I1 I 0.0000 0.2432 0.7500
O1 O 0.2228 0.0000 0.0000
```

Energy above the lowest structure with this stoichiometry in eV per formula unit: 0.00